Record 1
The following is a DFT calculation (GGA-PBEsol) of crystalline AlTlCo2 at its relaxed geometry. Values from VASP.

Structure (Quantum ESPRESSO input):
```
&SYSTEM
  ibrav = 0, nat = 4, ntyp = 3
/
ATOMIC_SPECIES
Al 26.98 Al.upf
Tl 204.38 Tl.upf
Co 58.93 Co.upf
CELL_PARAMETERS angstrom
0.000 3.039 3.039
3.039 0.000 3.039
3.039 3.039 0.000
ATOMIC_POSITIONS crystal
Al 0.000 0.000 0.000
Tl 0.750 0.750 0.750
Co 0.250 0.250 0.250
Co 0.500 0.500 0.500
```

Calculated values
The formation energy is 0.42 eV per atom. The space group is F-43m, No. 216. The value obtained for the excess energy over the best structure of this formula in the dataset is 316 meV per atom. The calculation puts the volume at 56 Å³/cell.

=====

Record 2
The following is a DFT calculation (GGA-PBEsol) of crystalline BiSbOs3 at its relaxed geometry. Values from VASP.

Structure (Quantum ESPRESSO input):
```
&SYSTEM
  ibrav = 0, nat = 5, ntyp = 3
/
ATOMIC_SPECIES
Bi 208.98 Bi.upf
Sb 121.76 Sb.upf
Os 190.23 Os.upf
CELL_PARAMETERS angstrom
4.913 0.000 0.000
0.000 4.913 0.000
0.000 0.000 4.913
ATOMIC_POSITIONS crystal
Bi 0.000 0.000 0.000
Sb 0.500 0.500 0.500
Os 0.000 0.000 0.500
Os 0.000 0.500 0.000
Os 0.500 0.000 0.000
```

Calculated values
The space group is Pm-3m, No. 221. As for the formation energy (no corrections): 2.8953 eV per atom. The calculation puts the volume at 119 Å³/cell.

=====

Record 3
The following is a DFT calculation (GGA-PBEsol) of crystalline RbCu2H3Se2O10 at its relaxed geometry. Values from VASP.

Structure (Quantum ESPRESSO input):
```
&SYSTEM
  ibrav = 0, nat = 18, ntyp = 5
/
ATOMIC_SPECIES
Rb 85.47 Rb.upf
Cu 63.55 Cu.upf
H 1.01 H.upf
Se 78.96 Se.upf
O 16.00 O.upf
CELL_PARAMETERS angstrom
4.584 -3.248 0.000
4.584 3.248 0.000
-3.604 0.000 7.074
ATOMIC_POSITIONS crystal
Rb 0.000 0.000 0.000
Cu 0.000 0.500 0.500
Cu 0.500 0.000 0.500
H 0.000 0.000 0.500
H 0.198 0.198 0.707
H 0.802 0.802 0.293
Se 0.428 0.428 0.219
Se 0.572 0.572 0.781
O 0.151 0.151 0.567
O 0.241 0.668 0.722
O 0.312 0.312 0.989
O 0.315 0.315 0.335
O 0.332 0.759 0.278
O 0.668 0.241 0.722
O 0.685 0.685 0.665
O 0.688 0.688 0.011
O 0.759 0.332 0.278
O 0.849 0.849 0.433
```

Calculated values
The calculation puts the energy at -5.2925 eV/atom. The space group is C2/m, No. 12. The calculation puts the volume at 211 Å³/cell.

=====

Record 4
The following is a DFT calculation (GGA-PBEsol) of crystalline Cu12Sb4S13 at its relaxed geometry. Values from VASP.

Structure (Quantum ESPRESSO input):
```
&SYSTEM
  ibrav = 0, nat = 29, ntyp = 3
/
ATOMIC_SPECIES
Cu 63.55 Cu.upf
Sb 121.76 Sb.upf
S 32.06 S.upf
CELL_PARAMETERS angstrom
-5.084 5.084 5.084
5.084 -5.084 5.084
5.084 5.084 -5.084
ATOMIC_POSITIONS crystal
Cu 0.000 0.222 0.222
Cu 0.000 0.778 0.778
Cu 0.222 0.000 0.222
Cu 0.222 0.222 0.000
Cu 0.250 0.500 0.750
Cu 0.250 0.750 0.500
Cu 0.500 0.250 0.750
Cu 0.500 0.750 0.250
Cu 0.750 0.250 0.500
Cu 0.750 0.500 0.250
Cu 0.778 0.000 0.778
Cu 0.778 0.778 0.000
Sb 0.000 0.000 0.553
Sb 0.000 0.553 0.000
Sb 0.447 0.447 0.447
Sb 0.553 0.000 0.000
S 0.000 0.000 0.000
S 0.000 0.249 0.482
S 0.000 0.482 0.249
S 0.233 0.751 0.751
S 0.249 0.000 0.482
S 0.249 0.482 0.000
S 0.482 0.000 0.249
S 0.482 0.249 0.000
S 0.518 0.518 0.767
S 0.518 0.767 0.518
S 0.751 0.233 0.751
S 0.751 0.751 0.233
S 0.767 0.518 0.518
```

Calculated values
The space group is I-43m, No. 217. As for the formation energy (no corrections): -0.2458 eV per atom. The calculation puts the volume at 525 Å³/cell.

=====

Record 5
The following is a DFT calculation (GGA-PBEsol) of crystalline Ta3RhAu at its relaxed geometry. Values from VASP.

Structure (Quantum ESPRESSO input):
```
&SYSTEM
  ibrav = 0, nat = 5, ntyp = 3
/
ATOMIC_SPECIES
Ta 180.95 Ta.upf
Rh 102.91 Rh.upf
Au 196.97 Au.upf
CELL_PARAMETERS angstrom
4.808 0.000 0.000
0.000 4.808 0.000
0.000 0.000 4.808
ATOMIC_POSITIONS crystal
Ta 0.000 0.000 0.500
Ta 0.000 0.500 0.000
Ta 0.500 0.000 0.000
Rh 0.500 0.500 0.500
Au 0.000 0.000 0.000
```

Calculated values
The formation energy is 1.96 eV per atom. The space group is Pm-3m, No. 221. The calculation puts the volume at 111 Å³/cell.

=====

Record 6
The following is a DFT calculation (GGA-PBEsol) of crystalline LiCoSi at its relaxed geometry. Values from VASP.

Structure (Quantum ESPRESSO input):
```
&SYSTEM
  ibrav = 0, nat = 3, ntyp = 3
/
ATOMIC_SPECIES
Li 6.94 Li.upf
Co 58.93 Co.upf
Si 28.09 Si.upf
CELL_PARAMETERS angstrom
-1.425 1.425 3.982
1.425 -1.425 3.982
1.425 1.425 -3.982
ATOMIC_POSITIONS crystal
Li 0.000 0.000 0.000
Co 0.673 0.673 0.000
Si 0.318 0.318 0.000
```

Calculated values
The space group is I4mm, No. 107. As for the formation energy (no corrections): -0.2868 eV per atom. The calculation puts the volume at 32 Å³/cell.

=====

Record 7
The following is a DFT calculation (GGA-PBEsol) of crystalline Mn3Se at its relaxed geometry. Values from VASP.

Structure (Quantum ESPRESSO input):
```
&SYSTEM
  ibrav = 0, nat = 4, ntyp = 2
/
ATOMIC_SPECIES
Mn 54.94 Mn.upf
Se 78.96 Se.upf
CELL_PARAMETERS angstrom
-1.597 1.948 3.907
1.597 -1.948 3.907
1.597 1.948 -3.907
ATOMIC_POSITIONS crystal
Mn 0.000 0.000 0.000
Mn 0.259 0.759 0.500
Mn 0.741 0.241 0.500
Se 0.500 0.500 0.000
```

Calculated values
The space group is Immm, No. 71. As for the formation energy (no corrections): 0.1788 eV per atom. The value obtained for the excess energy over the best structure of this formula in the dataset is 0 meV per atom. The calculation puts the volume at 49 Å³/cell.

=====

Record 8
The following is a DFT calculation (GGA-PBEsol) of crystalline Tc2OsSe at its relaxed geometry. Values from VASP.

Structure (Quantum ESPRESSO input):
```
&SYSTEM
  ibrav = 0, nat = 4, ntyp = 3
/
ATOMIC_SPECIES
Tc 98.00 Tc.upf
Os 190.23 Os.upf
Se 78.96 Se.upf
CELL_PARAMETERS angstrom
4.472 0.000 0.000
0.000 2.886 0.000
-0.475 0.000 4.465
ATOMIC_POSITIONS crystal
Tc 0.000 0.000 0.000
Tc 0.500 0.500 0.000
Os 0.000 0.500 0.500
Se 0.500 0.000 0.500
```

Calculated values
The space group is P2/m, No. 10. As for the formation energy (no corrections): 0.5023 eV per atom. The calculation puts the volume at 58 Å³/cell.

=====

Record 9
The following is a DFT calculation (GGA-PBEsol) of crystalline BaSc2Ru at its relaxed geometry. Values from VASP.

Structure (Quantum ESPRESSO input):
```
&SYSTEM
  ibrav = 0, nat = 4, ntyp = 3
/
ATOMIC_SPECIES
Ba 137.33 Ba.upf
Sc 44.96 Sc.upf
Ru 101.07 Ru.upf
CELL_PARAMETERS angstrom
-1.706 2.898 5.214
1.706 -2.898 5.214
1.706 2.898 -5.214
ATOMIC_POSITIONS crystal
Ba 0.000 0.000 0.000
Sc 0.316 0.816 0.500
Sc 0.684 0.184 0.500
Ru 0.500 0.500 0.000
```

Calculated values
The formation energy is 0.12 eV per atom. The space group is Immm, No. 71. The value obtained for the excess energy over the best structure of this formula in the dataset is 59 meV per atom. The calculation puts the volume at 103 Å³/cell.

=====

Record 10
The following is a DFT calculation (GGA-PBEsol) of crystalline TlCuAs at its relaxed geometry. Values from VASP.

Structure (Quantum ESPRESSO input):
```
&SYSTEM
  ibrav = 0, nat = 3, ntyp = 3
/
ATOMIC_SPECIES
Tl 204.38 Tl.upf
Cu 63.55 Cu.upf
As 74.92 As.upf
CELL_PARAMETERS angstrom
4.057 0.000 0.000
-2.028 3.513 0.000
0.000 0.000 4.461
ATOMIC_POSITIONS crystal
Tl 0.000 0.000 0.000
Cu 0.667 0.333 0.500
As 0.333 0.667 0.500
```

Calculated values
The formation energy is 0.11 eV per atom. The space group is P-6m2, No. 187. The calculation puts the volume at 64 Å³/cell.

=====

Record 11
The following is a DFT calculation (GGA-PBEsol) of crystalline KFeH5S2O10 at its relaxed geometry. Values from VASP.

Structure (Quantum ESPRESSO input):
```
&SYSTEM
  ibrav = 0, nat = 19, ntyp = 5
/
ATOMIC_SPECIES
K 39.10 K.upf
Fe 55.84 Fe.upf
H 1.01 H.upf
S 32.06 S.upf
O 16.00 O.upf
CELL_PARAMETERS angstrom
4.552 0.000 0.000
-0.817 5.777 0.000
-1.060 -2.073 7.839
ATOMIC_POSITIONS crystal
K 0.000 0.000 0.000
Fe 0.997 0.000 0.501
H 0.056 0.661 0.670
H 0.371 0.722 0.604
H 0.498 0.501 0.001
H 0.625 0.279 0.397
H 0.939 0.339 0.330
S 0.377 0.681 0.256
S 0.618 0.320 0.745
O 0.192 0.442 0.225
O 0.192 0.785 0.636
O 0.200 0.876 0.288
O 0.369 0.284 0.600
O 0.492 0.306 0.906
O 0.503 0.695 0.095
O 0.626 0.716 0.401
O 0.795 0.124 0.713
O 0.803 0.215 0.365
O 0.803 0.558 0.775
```

Calculated values
The calculation puts the energy at -5.9392 eV/atom. The space group is P1, No. 1. The calculation puts the volume at 206 Å³/cell.